# 1
DFT (PBE) results for a geometry-optimized CsRbInCl4 structure.

a b c (Å): 7.6361 17.2587 7.6483
angles (deg): 90.00 90.00 90.00
Last column: nearest neighbours and their distance in Å.
Space group Cmcm (No. 63)
Symmetry-distinct sites (fractional):
Cs: 0.0000 0.1052 0.2500  5 Cl 3.40-3.68
Rb: 0.0000 0.3913 0.2500  5 Cl 3.32-3.64
In: 0.0000 0.2523 0.7500  6 Cl 2.70-2.83
Cl: 0.0000 0.0919 0.7500  1 In 2.77
Cl: 0.0000 0.4161 0.7500  1 In 2.83
Cl: 0.2500 0.2500 0.0000  2 In 2.70

Values from the calculation:
N(E_F) ... 0.12 states/eV/atom
M_tot ... 0.00 μB/cell
Formation energy without anion corrections ... -1.548 eV/atom
Final energy ... -91.142 eV for the cell shown

# 2
DFT (PBE) results for a geometry-optimized Rb2CaRh structure.

a b c (Å): 12.7800 12.7800 5.2250
angles (deg): 90.00 90.00 90.00
Last column: nearest neighbours and their distance in Å.
Space group I-42d (No. 122)
Symmetry-distinct sites (fractional):
Rb: 0.0914 0.2500 0.1250  2 Rh 3.46
Ca: 0.0000 0.0000 0.5000  2 Rh 2.61
Rh: 0.0000 0.0000 0.0000  2 Ca 2.61

Values from the calculation:
N(E_F) ... 1.00 states/eV/atom
ΔE_f ... 1.46 eV/f.u.
M_tot ... 0.00 μB/cell
Final energy ... -39.301 eV for the cell shown

# 3
DFT (PBE) results for a geometry-optimized Te2Pd8Se structure.

a b c (Å): 4.2323 7.5644 12.0358
angles (deg): 90.00 90.00 90.00
Last column: nearest neighbours and their distance in Å.
Space group Immm (No. 71)
Symmetry-distinct sites (fractional):
Te: 0.0000 0.0000 0.1868  10 Pd 2.67-2.97
Pd: 0.0000 0.1906 0.0000  2 Te 2.67, 7 Pd 2.87-2.88
Pd: 0.0000 0.2691 0.3405  3 Te 2.75-2.76, 1 Se 2.80, 7 Pd 2.87-3.05
Pd: 0.0000 0.5000 0.1400  2 Se 2.71, 8 Pd 2.88-2.98, 2 Te 2.97
Se: 0.0000 0.0000 0.5000  8 Pd 2.71-2.80

Values from the calculation:
N(E_F) ... 0.63 states/eV/atom
M_tot ... 0.00 μB/cell
Formation energy without anion corrections ... -0.183 eV/atom
Final energy ... -106.644 eV for the cell shown

# 4
DFT (PBE) results for a geometry-optimized BaRhO2F structure.

a b c (Å): 4.0673 4.0673 4.4401
angles (deg): 90.00 90.00 90.00
Last column: nearest neighbours and their distance in Å.
Space group P4/mmm (No. 123)
Symmetry-distinct sites (fractional):
Ba: 0.0000 0.0000 0.0000  4 F 2.88, 8 O 3.01
Rh: 0.5000 0.5000 0.5000  4 O 2.03, 2 F 2.22
O: 0.0000 0.5000 0.5000  2 Rh 2.03
F: 0.5000 0.5000 0.0000  2 Rh 2.22

Values from the calculation:
N(E_F) ... 0.79 states/eV/atom
M_tot ... 1.36 μB/cell
Formation energy without anion corrections ... -1.767 eV/atom
Final energy ... -29.895 eV for the cell shown

# 5
DFT (PBE) results for a geometry-optimized TmTlGe2Cl8 structure.

a b c (Å): 6.2747 6.9436 9.0497
angles (deg): 94.00 90.57 94.60
Last column: nearest neighbours and their distance in Å.
Space group P-1 (No. 2)
Symmetry-distinct sites (fractional):
Tm: 0.0000 0.0000 0.0000  6 Cl 2.57-2.67
Tl: 0.0000 0.0000 0.5000  6 Cl 3.18-3.25
Ge: 0.4598 0.5576 0.7715  2 Cl 2.29-2.45
Cl: 0.2126 0.1832 0.8041  1 Tm 2.57
Cl: 0.2298 0.6935 0.9622  1 Ge 2.45, 1 Tm 2.67
Cl: 0.2709 0.1326 0.2154  1 Ge 2.62, 1 Tm 2.64
Cl: 0.2745 0.6396 0.5693  1 Ge 2.29

Values from the calculation:
N(E_F) ... 0.00 states/eV/atom
M_tot ... 0.00 μB/cell
Formation energy without anion corrections ... -1.312 eV/atom
Final energy ... -46.589 eV for the cell shown

# 6
DFT (PBE) results for a geometry-optimized Ba3RuN3 structure.

a b c (Å): 7.3313 5.8529 7.3426
angles (deg): 90.00 101.87 90.00
Last column: nearest neighbours and their distance in Å.
Space group P2_1/m (No. 11)
Symmetry-distinct sites (fractional):
Ba: 0.0848 0.2500 0.3234  5 N 2.74-3.00
Ba: 0.3227 0.7500 0.0847  5 N 2.74-3.00
Ba: 0.3919 0.7500 0.6083  5 N 2.70-2.95
Ru: 0.2011 0.2500 0.7986  3 N 1.86-1.94
N: 0.0497 0.7500 0.3179  1 Ru 1.86
N: 0.3170 0.2500 0.0490  1 Ru 1.86
N: 0.3717 0.2500 0.6287  1 Ru 1.94

Values from the calculation:
N(E_F) ... 0.69 states/eV/atom
M_tot ... 0.57 μB/cell
Formation energy without anion corrections ... -0.423 eV/atom
Final energy ... -85.963 eV for the cell shown